Na2Ga3Ge2 (GGA-PBE, relaxed); N(E_F) = 2.1 states/eV/f.u.; DFT formation energy = -0.09 eV per atom; electronic total energy = -21.57 eV per cell
1.0
-2.772 -1.323 -2.733
5.053 -3.286 -0.443
-4.179 -2.021 5.217
Ga Na Ge
3 2 2
direct
0.592 0.184 0.437 Ga
0.408 0.816 0.563 Ga
0.500 0.000 0.000 Ga
0.853 0.705 0.200 Na
0.147 0.295 0.800 Na
0.841 0.682 0.733 Ge
0.159 0.318 0.267 Ge